Entry 1:
Computed, not measured: a crystal of NiTeOs2 relaxed with PBEsol at the meta-GGA SCAN level of DFT.

Formation energy (no corrections), meV per atom: 641

Cell lengths 2.9498, 4.5565, 4.8269 Å; angles 99.22, 90.00, 108.89 degrees
With the nearest neighbours (Å) after each atom.
Element x y z (fractional)
Te: 0.4985 0.9970 0.4691  3 Ni 2.57-2.71, 3 Os 2.69-2.81
Ni: 0.7454 0.4908 0.2369  3 Te 2.57-2.71, 5 Os 2.63-2.66
Os: 0.2552 0.5104 0.7893  3 Os 2.58-2.65, 2 Ni 2.63, 3 Te 2.81-2.88
Os: 0.0009 0.0018 0.0046  3 Os 2.58-2.65, 3 Ni 2.64-2.66, 2 Te 2.69

Entry 2:
Computed, not measured: a crystal of SmCoGe3 relaxed with PBEsol at the meta-GGA SCAN level of DFT.

Energy relative to the elements, meV/atom: -600

Cell lengths 4.2344, 4.2344, 5.7036 Å; angles 111.79, 111.79, 90.00 degrees
With the nearest neighbours (Å) after each atom.
Element x y z (fractional)
Ge: 0.9031 0.4031 0.8061  2 Co 2.30
Ge: 0.4031 0.9031 0.8061  2 Co 2.30
Ge: 0.2268 0.2268 0.4535  1 Co 2.24
Sm: 0.6622 0.6622 0.3243  12 Ge 3.06-3.29, 5 Co 3.24-3.40
Co: 0.9963 0.9963 0.9926  5 Ge 2.24-2.30

Entry 3:
Computed, not measured: a crystal of MgBeBr relaxed with PBEsol at the meta-GGA SCAN level of DFT.

Formation energy (no corrections), meV per atom: 868
Energy above the most stable polymorph in this dataset, meV per atom: 780.3

Cell lengths 4.6703, 4.6703, 4.6703 Å; angles 60.00, 60.00, 60.00 degrees
With the nearest neighbours (Å) after each atom.
Element x y z (fractional)
Br: 0.2500 0.2500 0.2500  4 Mg 2.86, 4 Be 2.86
Be: 0.5000 0.5000 0.5000  4 Br 2.86
Mg: 0.0000 0.0000 0.0000  4 Br 2.86

Entry 4:
Computed, not measured: a crystal of InHS2I relaxed with PBEsol at the meta-GGA SCAN level of DFT.

Total DFT energy (no corrections), eV for the cell shown: -87.8

Cell lengths 5.1151, 5.1151, 6.2075 Å; angles 90.00, 90.00, 90.00 degrees
With the nearest neighbours (Å) after each atom.
Element x y z (fractional)
H: 0.5000 0.5000 0.5000  4 In 3.62, 8 S 4.02
S: 0.0000 0.5000 0.0000  2 I 2.56
S: 0.5000 0.0000 0.0000  2 I 2.56
In: 0.0000 0.0000 0.5000  2 I 3.10
I: 0.0000 0.0000 0.0000  4 S 2.56

Entry 5:
Computed, not measured: a crystal of IrOs2W relaxed with PBEsol at the meta-GGA SCAN level of DFT.

Energy relative to the elements, meV/atom: -119
Energy above the most stable polymorph in this dataset, meV per atom: 49.6

Cell lengths 3.8543, 3.8543, 4.7280 Å; angles 114.05, 114.05, 90.00 degrees
With the nearest neighbours (Å) after each atom.
Element x y z (fractional)
Os: 0.7500 0.2500 0.5000  4 Ir 2.73, 4 W 2.73, 4 Os 2.73
Os: 0.0000 0.0000 0.0000  4 W 2.73, 4 Ir 2.73, 4 Os 2.73
Ir: 0.2500 0.7500 0.5000  8 Os 2.73, 4 W 2.73
W: 0.5000 0.5000 0.0000  8 Os 2.73, 4 Ir 2.73

Entry 6:
Computed, not measured: a crystal of ZrGaMoC2 relaxed with PBEsol at the meta-GGA SCAN level of DFT.

Energy relative to the elements, meV/atom: 2088

Cell lengths 3.9517, 3.9517, 4.7447 Å; angles 90.00, 90.00, 90.00 degrees
With the nearest neighbours (Å) after each atom.
Element x y z (fractional)
C: 0.5000 0.0000 0.0000  2 Ga 1.98
C: 0.0000 0.5000 0.0000  2 Ga 1.98
Zr: 0.5000 0.5000 0.5000  4 Mo 2.79, 8 C 3.09
Ga: 0.0000 0.0000 0.0000  4 C 1.98
Mo: 0.0000 0.0000 0.5000  2 Ga 2.37

Entry 7:
Computed, not measured: a crystal of BaTaPb2 relaxed with PBEsol at the meta-GGA SCAN level of DFT.

Energy relative to the elements, meV/atom: 364

Cell lengths 3.8354, 3.8354, 8.1561 Å; angles 90.00, 90.00, 90.00 degrees
With the nearest neighbours (Å) after each atom.
Element x y z (fractional)
Ta: 0.0000 0.0000 0.4087  5 Pb 2.84-2.93
Ba: 0.5000 0.5000 0.7350  5 Pb 3.49-3.73, 4 Ta 3.80, 4 Ba 3.84
Pb: 0.5000 0.5000 0.3066  4 Ta 2.84
Pb: 0.0000 0.0000 0.0498  1 Ta 2.93

Entry 8:
Computed, not measured: a crystal of TlSiIr2 relaxed with PBEsol at the meta-GGA SCAN level of DFT.

Formation energy (no corrections), meV per atom: 453
Energy above the most stable polymorph in this dataset, meV per atom: 149.0

Cell lengths 4.4454, 4.4454, 4.4454 Å; angles 60.00, 60.00, 60.00 degrees
With the nearest neighbours (Å) after each atom.
Element x y z (fractional)
Tl: 0.5000 0.5000 0.5000  8 Ir 2.72
Ir: 0.7500 0.7500 0.7500  4 Tl 2.72, 4 Si 2.72
Ir: 0.2500 0.2500 0.2500  4 Tl 2.72, 4 Si 2.72
Si: 0.0000 0.0000 0.0000  8 Ir 2.72

no.,total magnetization (μB per cell)
1,0.0
2,0.0
3,0.0
4,0.9
5,0.0
6,0.0
7,0.0
8,1.0